The following is a GGA-PBE calculation of a relaxed structure of GeSbTe2Br, from the Alexandria database.

Lattice parameters (Å, degrees): 5.6013 5.6013 5.5172 90.00 90.00 90.00
Fractional coordinates of all 5 atoms:
Sb: 0.0000 0.0000 0.5000
Br: 0.0000 0.0000 0.0000
Te: 0.0000 0.5000 0.0000
Te: 0.5000 0.0000 0.0000
Ge: 0.5000 0.5000 0.5000

Output
Crystal system = tetragonal
Distance to the lowest polymorph of the same formula = 490.1 meV/atom
SG = P4/mmm
V = 34.6 Å³ per atom
Raw formation energy = 0.973 eV per atom
Total energy = -11.8 eV/cell